# 1
Computed, not measured: a relaxed structure of Dy4Er3Th2 at the PBE-GGA level of DFT.

Values from the calculation:
energy relative to the elements	1.058	eV/f.u.
offset from the most stable computed form	0.051	eV/atom
ρ	9.465	g/cm³

Cell and atoms, written as CIF:
```
data_Dy4Er3Th2
_chemical_formula_sum 'Dy16 Er12 Th8'
_symmetry_space_group_name_H-M 'C 1 2/c 1'
_symmetry_Int_Tables_number 15
_cell_length_a 16.088
_cell_length_b 11.646
_cell_length_c 6.104
_cell_angle_alpha 90.00
_cell_angle_beta 97.45
_cell_angle_gamma 90.00
loop_
_symmetry_equiv_pos_as_xyz
'x,y,z'
'-x,-y,-z'
'-x,y,-z+1/2'
'x,-y,z+1/2'
'x+1/2,y+1/2,z'
'-x+1/2,-y+1/2,-z'
'-x+1/2,y+1/2,-z+1/2'
'x+1/2,-y+1/2,z+1/2'
loop_
_atom_site_label
_atom_site_fract_x
_atom_site_fract_y
_atom_site_fract_z
Dy1 0.049 0.138 0.018
Dy2 0.217 0.364 0.846
Er1 0.000 0.392 0.750
Er2 0.167 0.106 0.586
Th1 0.112 0.361 0.313
```



# 2
Computed, not measured: a relaxed structure of Dy2Er6Th3 at the PBE-GGA level of DFT.

Values from the calculation:
energy relative to the elements	1.816	eV/f.u.
ρ	9.228	g/cm³

Cell and atoms, written as CIF:
```
data_Dy2Er6Th3
_chemical_formula_sum 'Dy4 Er12 Th6'
_symmetry_space_group_name_H-M 'C 1 2/m 1'
_symmetry_Int_Tables_number 12
_cell_length_a 6.137
_cell_length_b 10.631
_cell_length_c 11.170
_cell_angle_alpha 90.00
_cell_angle_beta 90.06
_cell_angle_gamma 90.00
loop_
_symmetry_equiv_pos_as_xyz
'x,y,z'
'-x,-y,-z'
'-x,y,-z'
'x,-y,z'
'x+1/2,y+1/2,z'
'-x+1/2,-y+1/2,-z'
'-x+1/2,y+1/2,-z'
'x+1/2,-y+1/2,z'
loop_
_atom_site_label
_atom_site_fract_x
_atom_site_fract_y
_atom_site_fract_z
Dy1 0.000 0.167 0.000
Er1 0.165 0.335 0.252
Er2 0.169 0.000 0.252
Th1 0.000 0.167 0.500
Th2 0.000 0.500 0.500
```



# 3
Computed, not measured: a relaxed structure of Dy2ErTh3 at the PBE-GGA level of DFT.

Values from the calculation:
energy relative to the elements	0.178	eV/f.u.
ρ	10.353	g/cm³

Cell and atoms, written as CIF:
```
data_Dy2ErTh3
_chemical_formula_sum 'Dy4 Er2 Th6'
_symmetry_space_group_name_H-M 'P 1 21/m 1'
_symmetry_Int_Tables_number 11
_cell_length_a 10.029
_cell_length_b 3.567
_cell_length_c 10.657
_cell_angle_alpha 90.00
_cell_angle_beta 90.59
_cell_angle_gamma 90.00
loop_
_symmetry_equiv_pos_as_xyz
'x,y,z'
'-x,-y,-z'
'-x,y+1/2,-z'
'x,-y+1/2,z'
loop_
_atom_site_label
_atom_site_fract_x
_atom_site_fract_y
_atom_site_fract_z
Dy1 0.127 0.250 0.417
Dy2 0.369 0.750 0.913
Er1 0.377 0.750 0.252
Th1 0.122 0.250 0.083
Th2 0.125 0.250 0.751
Th3 0.377 0.750 0.584
```



# 4
Computed, not measured: a relaxed structure of DyEr2Th at the PBE-GGA level of DFT.

Values from the calculation:
energy relative to the elements	0.549	eV/f.u.
offset from the most stable computed form	0.146	eV/atom
ρ	9.564	g/cm³

Cell and atoms, written as CIF:
```
data_DyEr2Th
_chemical_formula_sum 'Dy4 Er8 Th4'
_symmetry_space_group_name_H-M 'F m -3 m'
_symmetry_Int_Tables_number 225
_symmetry_space_group_name_Hall '-F 4 2 3'
_cell_length_a 7.970
_cell_length_b 7.970
_cell_length_c 7.970
_cell_angle_alpha 90.00
_cell_angle_beta 90.00
_cell_angle_gamma 90.00
loop_
_atom_site_label
_atom_site_fract_x
_atom_site_fract_y
_atom_site_fract_z
Dy1 0.000 0.000 0.000
Er1 0.250 0.250 0.250
Th1 0.000 0.000 0.500
```



# 5
Computed, not measured: a relaxed structure of Dy3Er5Th3 at the PBE-GGA level of DFT.

Values from the calculation:
energy relative to the elements	4.428	eV/f.u.
offset from the most stable computed form	0.000	eV/atom
ρ	9.202	g/cm³

Cell and atoms, written as CIF:
```
data_Dy3Er5Th3
_chemical_formula_sum 'Dy3 Er5 Th3'
_symmetry_space_group_name_H-M 'P -6 2 m'
_symmetry_Int_Tables_number 189
_symmetry_space_group_name_Hall 'P -6 -2'
_cell_length_a 11.0937
_cell_length_b 11.0937
_cell_length_c 3.4201
_cell_angle_alpha 90.00
_cell_angle_beta 90.00
_cell_angle_gamma 120.00
loop_
_atom_site_label
_atom_site_fract_x
_atom_site_fract_y
_atom_site_fract_z
Dy1 0.0000 0.8392 0.0000
Er1 0.0000 0.3407 0.0000
Er2 0.3333 0.6667 0.0000
Th1 0.0000 0.5960 0.5000
```



# 6
Computed, not measured: a relaxed structure of Dy4Er5Th2 at the PBE-GGA level of DFT.

Values from the calculation:
energy relative to the elements	4.684	eV/f.u.
offset from the most stable computed form	0.372	eV/atom
ρ	8.805	g/cm³

Cell and atoms, written as CIF:
```
data_Dy4Er5Th2
_chemical_formula_sum 'Dy8 Er10 Th4'
_symmetry_space_group_name_H-M 'I m m m'
_symmetry_Int_Tables_number 71
_symmetry_space_group_name_Hall '-I 2 2'
_cell_length_a 3.462
_cell_length_b 7.585
_cell_length_c 28.015
_cell_angle_alpha 90.00
_cell_angle_beta 90.00
_cell_angle_gamma 90.00
loop_
_atom_site_label
_atom_site_fract_x
_atom_site_fract_y
_atom_site_fract_z
Dy1 0.000 0.000 0.105
Dy2 0.000 0.320 0.500
Er1 0.000 0.257 0.303
Er2 0.000 0.500 0.000
Th1 0.000 0.000 0.398
```



Number 1: DOS(E_F) 1.411 states/eV per atom, raw total energy -5.10 eV per atom. Number 2: DOS(E_F) 1.442 states/eV per atom, raw total energy -5.18 eV per atom. Number 3: DOS(E_F) 1.382 states/eV per atom, raw total energy -5.97 eV per atom. Number 4: DOS(E_F) 2.008 states/eV per atom, raw total energy -5.15 eV per atom. Number 5: DOS(E_F) 1.910 states/eV per atom, raw total energy -4.95 eV per atom. Number 6: DOS(E_F) 1.656 states/eV per atom, raw total energy -4.67 eV per atom.